First-principles (SCAN) data for Fe6OF11 at its PBEsol-relaxed geometry, as listed in Alexandria via LeMat-Bulk.

Values from the calculation:
As for the volume: 11.7 Å³/atom. The value obtained for the magnetic moment is 3.8 μB per cell. The value obtained for the energy above the most stable polymorph in this dataset is 102 meV/atom. As for the uncorrected formation energy: -199.8 kJ per mole of atoms. As for the symmetry: No. 38.

Cell and atoms, written as POSCAR:
```
Fe6OF11
1.0
2.949 0.000 0.000
0.000 6.829 0.000
0.000 -3.415 10.425
Fe O F
6 1 11
Direct
0.500 0.982 0.000
0.000 0.521 0.000
0.500 0.665 0.334
0.000 0.833 0.668
0.000 0.165 0.332
0.500 0.331 0.666
0.500 0.705 0.000
0.500 0.956 0.334
0.500 0.294 0.000
0.000 0.588 0.198
0.000 0.735 0.474
0.000 0.085 0.141
0.500 0.378 0.342
0.500 0.622 0.666
0.000 0.944 0.859
0.000 0.261 0.526
0.000 0.390 0.802
0.500 0.036 0.658
```